# CrCdFe2N (PBE, optimized geometry)
data_CrCdFe2N
_cell_length_a 3.940
_cell_length_b 3.940
_cell_length_c 3.861
_cell_angle_alpha 90.00
_cell_angle_beta 90.00
_cell_angle_gamma 90.00
_symmetry_space_group_name_H-M 'P 4/m m m'
_symmetry_Int_Tables_number 123
_symmetry_space_group_name_Hall '-P 4 2'
loop_
_atom_site_label
_atom_site_type_symbol
_atom_site_fract_x
_atom_site_fract_y
_atom_site_fract_z
Cr1 Cr 0.000 0.000 0.000
Cd1 Cd 0.500 0.500 0.000
Fe1 Fe 0.000 0.500 0.500
N1 N 0.000 0.000 0.500
# VASP energy: -0.26282 hartree per atom
# total moment: 5.3 Bohr magnetons per cell
# mass density: 8.0 g/cm3
# formation energy from raw total energies: 6 meV per atom
# crystal system: tetragonal